(1)
An optimized crystal structure of SrZn2Hg, computed with PBE.

POSCAR file:
```
SrZn2Hg
1.0
4.655 -0.034 0.036
2.388 3.996 0.036
2.228 1.253 5.396
Hg Sr Zn
1 1 2
Cartesian
2.318 1.304 1.367
6.953 3.912 4.102
7.032 3.956 0.789
4.646 2.614 2.017
```

Results
total magnetic moment	0.00	μB per atom
E_form	-199.3	meV per atom
electronic total energy	-1.332	eV per atom

(2)
An optimized crystal structure of SrZn2Hg, computed with PBE.

POSCAR file:
```
SrZn2Hg
1.0
4.502 -0.013 0.007
2.249 3.900 0.007
2.266 1.305 5.749
Sr Zn Hg
1 2 1
Cartesian
6.763 3.894 4.438
6.754 3.889 0.904
2.253 1.298 1.020
4.505 2.594 2.298
```

Results
total magnetic moment	0.00	μB per atom
E_form	-236.3	meV per atom
electronic total energy	-1.369	eV per atom

(3)
An optimized crystal structure of SrZnHg, computed with PBE.

POSCAR file:
```
SrZnHg
1.0
-3.845 0.573 3.185
-0.771 -3.376 3.642
0.870 1.233 4.794
Hg Sr Zn
1 1 1
Cartesian
0.000 0.000 0.000
-1.873 -0.785 5.810
-2.809 -1.177 8.716
```

Results
total magnetic moment	0.00	μB per atom
E_form	-198.9	meV per atom
electronic total energy	-1.285	eV per atom

(4)
An optimized crystal structure of Sr2Zn2Hg, computed with PBE.

POSCAR file:
```
Sr2Zn2Hg
1.0
-0.467 3.801 -0.876
-3.315 0.078 2.107
3.120 4.351 8.411
Sr Zn Hg
2 2 1
Cartesian
-0.833 2.448 2.260
0.172 5.782 7.381
0.382 5.046 4.075
-1.043 3.184 5.566
0.000 0.000 0.000
```

Results
total magnetic moment	0.00	μB per atom
E_form	-201.9	meV per atom
energy above the most stable polymorph in this dataset	10.0	kJ per mole of atoms
electronic total energy	-1.445	eV per atom